1.
Computed, not measured: a relaxed structure of PmTh2Pd2 at the GGA-PBE level of DFT.

calculated formation energy	-509	meV/atom
crystal system	orthorhombic
E	-6.50	eV/atom
calculated volume	134	Å³/cell
energy relative to the lowest polymorph listed for this composition	84	meV/atom

Geometry as extended XYZ:
```
5
Lattice="-1.945 3.505 4.895 1.945 -3.505 4.895 1.945 3.505 -4.895" Properties=species:S:1:pos:R:3 pbc="T T T"
Pm 0.000 0.000 0.000
Th 1.945 0.000 2.980
Th 0.000 3.505 1.915
Pd 1.945 2.122 0.000
Pd 0.000 1.383 4.895
```


2.
Computed, not measured: a relaxed structure of PmThPd2 at the GGA-PBE level of DFT.

calculated formation energy	-795	meV/atom
crystal system	monoclinic
E	-6.43	eV/atom
calculated volume	98	Å³/cell
energy relative to the lowest polymorph listed for this composition	0	meV/atom

Geometry as extended XYZ:
```
4
Lattice="3.822 0.000 0.000 0.000 4.623 0.000 -1.869 0.000 5.526" Properties=species:S:1:pos:R:3 pbc="T T T"
Pm 0.000 0.000 0.000
Th 1.947 2.312 2.503
Pd 0.036 0.000 2.993
Pd 0.044 2.312 4.960
```


3.
Computed, not measured: a relaxed structure of Pm2ThPd9 at the GGA-PBE level of DFT.

calculated formation energy	-873	meV/atom
crystal system	tetragonal
E	-6.18	eV/atom
calculated volume	221	Å³/cell

Geometry as extended XYZ:
```
12
Lattice="4.190 0.000 0.000 0.000 4.190 0.000 0.000 0.000 12.602" Properties=species:S:1:pos:R:3 pbc="T T T"
Pm 0.000 0.000 2.078
Pm 0.000 0.000 10.524
Th 0.000 0.000 6.301
Pd 0.000 2.095 0.000
Pd 0.000 2.095 4.228
Pd 0.000 2.095 8.374
Pd 2.095 0.000 0.000
Pd 2.095 0.000 4.228
Pd 2.095 0.000 8.374
Pd 2.095 2.095 2.112
Pd 2.095 2.095 6.301
Pd 2.095 2.095 10.490
```


4.
Computed, not measured: a relaxed structure of Pm2Th2Pd3 at the GGA-PBE level of DFT.

calculated formation energy	-550	meV/atom
crystal system	triclinic
E	-6.25	eV/atom
calculated volume	185	Å³/cell

Geometry as extended XYZ:
```
7
Lattice="4.022 0.000 0.000 -0.325 6.185 0.000 -0.839 -0.389 7.451" Properties=species:S:1:pos:R:3 pbc="T T T"
Pm 0.729 0.622 1.378
Pm 2.129 5.174 6.073
Th 0.608 2.041 5.261
Th 2.250 3.755 2.190
Pd -0.163 3.092 0.000
Pd 0.216 4.914 3.936
Pd 2.641 0.882 3.514
```